Record 1
Computed, not measured: PmFeNiP2 after structural relaxation at the GGA-PBE level of DFT.

```
PmFeNiP2
1.0
-2.585 -1.789 2.305
0.133 -3.149 -2.294
4.881 0.660 2.690
P Pm Ni Fe
2 1 1 1
Cartesian
-0.266 -2.944 0.713
2.695 -1.334 1.987
0.000 0.000 0.000
1.894 -2.479 0.201
0.535 -1.799 2.500
```

Output
Calculated formation energy   -0.94 eV/atom

Record 2
Computed, not measured: CuMo2Pt after structural relaxation at the GGA-PBE level of DFT.

```
CuMo2Pt
1.0
1.890 -3.987 0.152
-2.510 -3.627 0.192
-0.252 -2.697 -3.486
Mo Cu Pt
2 1 1
Cartesian
-0.654 -7.732 -2.357
-0.218 -2.577 -0.786
0.000 0.000 0.000
-0.436 -5.155 -1.571
```

Output
Offset from the most stable computed form   160 kJ/mol of formula units
Calculated formation energy   0.36 eV/atom

Record 3
Computed, not measured: CoB2I2 after structural relaxation at the GGA-PBE level of DFT.

```
CoB2I2
1.0
7.312 0.000 0.000
0.000 7.312 0.000
0.000 0.000 3.519
Co I B
2 4 4
Cartesian
0.000 0.000 0.000
3.656 3.656 0.000
4.920 1.264 0.000
6.048 4.920 0.000
1.264 2.392 0.000
2.392 6.048 0.000
2.380 1.276 1.760
1.276 4.932 1.760
4.932 6.036 1.760
6.036 2.380 1.760
```

Output
Offset from the most stable computed form   0 kJ/mol of formula units
Formation energy (no corrections)   9.05 eV per formula unit

Record 4
Computed, not measured: Ag2Pt after structural relaxation at the GGA-PBE level of DFT.

```
Ag2Pt
1.0
-6.703 1.733 3.072
-3.880 -6.498 0.294
5.832 4.137 2.499
Pt Ag
4 8
Cartesian
-4.280 -3.548 3.068
-2.337 -4.213 1.149
-2.766 -1.326 3.889
-0.823 -1.991 1.969
-7.059 -3.179 2.245
-1.983 0.663 1.946
-10.579 -4.764 3.365
0.759 0.296 2.797
-5.505 -0.923 3.067
-3.963 1.346 3.908
-2.421 3.615 4.748
-3.528 -1.589 1.122
```

Output
Offset from the most stable computed form   14 kJ/mol of formula units
Calculated formation energy   0.04 eV/atom

Record 5
Computed, not measured: Rb3NbBr6 after structural relaxation at the GGA-PBE level of DFT.

```
Rb3NbBr6
1.0
8.309 0.000 0.000
0.000 8.309 0.000
4.155 4.155 5.876
Br Rb Nb
6 3 1
Cartesian
1.873 6.437 0.000
6.437 6.437 0.000
1.873 1.873 0.000
4.155 4.155 3.227
6.437 1.873 0.000
8.309 8.309 2.649
8.309 4.155 2.938
4.155 4.155 0.000
4.155 8.309 2.938
0.000 0.000 0.000
```

Output
Offset from the most stable computed form   41 kJ/mol of formula units
Formation energy (no corrections)   -13.16 eV per formula unit

Record 6
Computed, not measured: CuSb3Se6 after structural relaxation at the GGA-PBE level of DFT.

```
CuSb3Se6
1.0
-4.274 -2.680 4.698
4.537 -7.700 -0.266
3.917 4.910 6.364
Sb Cu Se
6 2 12
Cartesian
6.709 -1.359 5.568
1.447 0.378 1.772
-0.594 -2.899 3.102
0.565 -5.409 6.290
4.668 -4.636 6.898
2.538 -0.738 5.692
2.324 -6.413 3.391
-0.178 -0.333 9.641
1.300 0.535 7.990
3.288 3.765 6.713
4.848 0.531 6.379
2.991 -6.512 5.730
0.061 -5.545 3.616
1.918 1.498 4.266
1.700 -8.730 3.197
4.575 -2.905 4.762
2.390 -3.266 7.626
2.020 -2.061 2.918
3.796 -5.431 1.800
-0.165 -2.422 5.782
```

Output
Formation energy (no corrections)   -0.87 eV per formula unit

Let's list total moment in order: 1.65; 0.00; 2.45; 0.00; 2.00; 0.00 Bohr magnetons per cell.